No. 1
DFT (PBE) results for a relaxed Pm4Mo crystal.

Calculated values
Total DFT energy (no corrections)   -5.570 eV per atom
Space-group type   Pm-3m
Density   6.575 g/cm3
Formation enthalpy at 0 K   0.40 eV/atom

POSCAR file:
```
Pm4Mo
1.0
-4.459 1.976 2.643
-3.267 -3.272 -3.065
0.467 -4.020 3.793
Pm Mo
4 1
Direct
0.000 0.000 0.000
0.500 0.500 0.000
0.000 0.500 0.500
0.500 0.000 0.500
0.500 0.500 0.500
```


No. 2
DFT (PBE) results for a relaxed PmMo4 crystal.

Calculated values
Total DFT energy (no corrections)   -6.850 eV per atom
Space-group type   Pm-3m
Density   8.156 g/cm3
Formation enthalpy at 0 K   2.76 eV/atom

POSCAR file:
```
PmMo4
1.0
-2.923 -3.731 0.410
0.280 -0.734 -4.692
3.743 -2.858 0.671
Mo Pm
4 1
Direct
0.000 0.000 0.000
0.000 0.500 0.500
0.500 0.000 0.500
0.500 0.500 0.000
0.500 0.500 0.500
```


No. 3
DFT (PBE) results for a relaxed PmMoPt crystal.

Calculated values
Total DFT energy (no corrections)   -7.203 eV per atom
Space-group type   Cmmm
Density   12.129 g/cm3
Formation enthalpy at 0 K   0.00 eV/atom

POSCAR file:
```
PmMoPt
1.0
4.343 0.000 0.000
-2.171 2.179 0.000
0.000 0.000 12.618
Pt Pm Mo
2 2 2
Direct
0.195 0.389 0.500
0.694 0.389 0.000
0.194 0.389 0.173
0.194 0.389 0.827
0.694 0.389 0.361
0.694 0.389 0.639
```


No. 4
DFT (PBE) results for a relaxed PmReSi2Mo crystal.

Calculated values
E_form (uncorrected)   -0.46 eV/atom
Total DFT energy (no corrections)   -8.238 eV per atom
Space-group type   I-4m2
Density   8.947 g/cm3

POSCAR file:
```
PmReSi2Mo
1.0
-3.099 1.459 2.182
1.337 -2.028 3.254
3.906 4.573 -1.289
Pm Mo Si Re
1 1 2 1
Direct
0.000 0.000 0.000
0.250 0.750 0.500
0.615 0.615 0.230
0.385 0.385 0.770
0.750 0.250 0.500
```


No. 5
DFT (PBE) results for a relaxed PmMoRh crystal.

Calculated values
Total DFT energy (no corrections)   -7.629 eV per atom
Space-group type   P4/mmm
Density   9.332 g/cm3
Formation enthalpy at 0 K   0.02 eV/atom

POSCAR file:
```
PmMoRh
1.0
-4.014 2.136 1.682
2.462 -1.952 1.369
5.502 8.541 2.284
Rh Pm Mo
2 2 2
Direct
0.695 0.389 0.000
0.194 0.389 0.500
0.194 0.389 0.171
0.194 0.389 0.829
0.694 0.389 0.385
0.694 0.389 0.615
```


No. 6
DFT (PBE) results for a relaxed PmMoS crystal.

Calculated values
E_form (uncorrected)   -0.55 eV/atom
Total DFT energy (no corrections)   -7.125 eV per atom
Space-group type   C2/m
Density   7.065 g/cm3

POSCAR file:
```
PmMoS
1.0
3.458 0.539 0.290
2.484 6.968 -0.035
0.786 3.387 5.586
Pm S Mo
2 2 2
Direct
0.287 0.302 0.822
0.713 0.698 0.178
0.004 0.240 0.512
0.996 0.760 0.488
0.318 0.835 0.695
0.682 0.165 0.305
```


No. 7
DFT (PBE) results for a relaxed PmSbMo crystal.

Calculated values
E_form (uncorrected)   -0.43 eV/atom
Total DFT energy (no corrections)   -6.997 eV per atom
Space-group type   P2_1/m
Density   8.294 g/cm3

POSCAR file:
```
PmSbMo
1.0
4.236 0.000 0.000
0.000 8.681 -0.250
0.000 -0.199 7.905
Mo Sb Pm
4 4 4
Direct
0.250 0.910 0.000
0.250 0.410 0.000
0.750 0.590 0.000
0.750 0.090 0.000
0.250 0.642 0.764
0.750 0.358 0.236
0.250 0.142 0.764
0.750 0.858 0.236
0.750 0.883 0.659
0.750 0.383 0.659
0.250 0.617 0.341
0.250 0.117 0.341
```


No. 8
DFT (PBE) results for a relaxed PmSc2Mo crystal.

Calculated values
Total DFT energy (no corrections)   -6.915 eV per atom
Space-group type   P4/mmm
Density   5.782 g/cm3
Formation enthalpy at 0 K   0.15 eV/atom

POSCAR file:
```
PmSc2Mo
1.0
-3.087 1.317 -0.157
-1.318 -3.000 0.743
0.379 1.864 8.198
Pm Sc Mo
1 2 1
Direct
0.500 0.500 0.500
0.000 0.000 0.812
0.000 0.000 0.188
0.500 0.500 0.000
```


No. 9
DFT (PBE) results for a relaxed PmScMo4 crystal.

Calculated values
Total DFT energy (no corrections)   -8.939 eV per atom
Space-group type   F-43m
Density   8.190 g/cm3
Formation enthalpy at 0 K   0.13 eV/atom

POSCAR file:
```
PmScMo4
1.0
-4.267 3.366 -0.696
-4.102 0.011 3.633
-0.684 4.284 3.347
Mo Pm Sc
4 1 1
Direct
0.625 0.126 0.625
0.625 0.625 0.625
0.126 0.625 0.625
0.625 0.625 0.126
0.250 0.250 0.250
0.000 0.000 0.000
```


No. 10
DFT (PBE) results for a relaxed PmScMo crystal.

Calculated values
Total DFT energy (no corrections)   -7.025 eV per atom
Space-group type   C2/m
Density   6.241 g/cm3
Formation enthalpy at 0 K   0.28 eV/atom

POSCAR file:
```
PmScMo
1.0
4.501 0.000 0.000
0.000 5.809 0.253
-2.251 -0.978 5.775
Pm Sc Mo
2 2 2
Direct
0.874 0.656 0.748
0.126 0.344 0.252
0.415 0.217 0.830
0.585 0.783 0.170
0.760 0.120 0.520
0.240 0.880 0.480
```


No. 11
DFT (PBE) results for a relaxed PmSiMo crystal.

Calculated values
E_form (uncorrected)   -0.48 eV/atom
Total DFT energy (no corrections)   -7.478 eV per atom
Space-group type   P4/nmm
Density   7.248 g/cm3
Energy relative to the lowest polymorph listed for this composition   0.0000 eV/atom

POSCAR file:
```
PmSiMo
1.0
3.937 -0.190 -0.039
0.190 3.942 -0.039
0.081 0.075 7.922
Pm Mo Si
2 2 2
Direct
0.314 0.366 0.273
0.814 0.867 0.567
0.314 0.867 0.920
0.814 0.366 0.920
0.314 0.367 0.700
0.814 0.866 0.139
```


No. 12
DFT (PBE) results for a relaxed PmSiMo crystal.

Calculated values
E_form (uncorrected)   -0.17 eV/atom
Total DFT energy (no corrections)   -7.172 eV per atom
Space-group type   C2/m
Density   6.728 g/cm3
Energy relative to the lowest polymorph listed for this composition   0.3067 eV/atom

POSCAR file:
```
PmSiMo
1.0
3.918 0.000 0.000
0.000 5.580 -0.980
-1.959 -3.297 6.652
Mo Si Pm
2 2 2
Direct
0.714 0.561 0.428
0.286 0.439 0.572
0.922 0.733 0.844
0.078 0.267 0.156
0.400 0.120 0.799
0.600 0.880 0.201
```


No. 13
DFT (PBE) results for a relaxed Pm12Si7Mo crystal.

Calculated values
E_form (uncorrected)   -0.28 eV/atom
Total DFT energy (no corrections)   -5.565 eV per atom
Space-group type   R-3
Density   5.770 g/cm3

POSCAR file:
```
Pm12Si7Mo
1.0
8.919 -0.097 -0.146
-2.573 8.540 -0.146
-2.573 -3.424 7.825
Si Pm Mo
7 12 1
Direct
0.685 0.891 0.973
0.500 0.500 0.500
0.891 0.973 0.685
0.315 0.109 0.027
0.027 0.315 0.109
0.109 0.027 0.315
0.973 0.685 0.891
0.225 0.076 0.674
0.853 0.619 0.529
0.619 0.529 0.853
0.471 0.147 0.381
0.076 0.674 0.225
0.674 0.225 0.076
0.775 0.924 0.326
0.924 0.326 0.775
0.147 0.381 0.471
0.381 0.471 0.147
0.529 0.853 0.619
0.326 0.775 0.924
0.000 0.000 0.000
```


No. 14
DFT (PBE) results for a relaxed PmSnMo crystal.

Calculated values
Total DFT energy (no corrections)   -6.328 eV per atom
Space-group type   R-3m
Density   8.054 g/cm3
Formation enthalpy at 0 K   0.20 eV/atom

POSCAR file:
```
PmSnMo
1.0
-2.902 1.145 1.351
-0.512 -0.209 3.355
4.965 13.695 3.333
Sn Pm Mo
2 2 2
Direct
0.863 0.863 0.411
0.137 0.137 0.589
0.592 0.592 0.224
0.408 0.408 0.776
0.315 0.315 0.054
0.685 0.685 0.946
```


No. 15
DFT (PBE) results for a relaxed PmTc2Mo crystal.

Calculated values
Total DFT energy (no corrections)   -8.898 eV per atom
Space-group type   P4/mmm
Density   9.921 g/cm3
Formation enthalpy at 0 K   0.18 eV/atom
Energy relative to the lowest polymorph listed for this composition   0.0000 eV/atom

POSCAR file:
```
PmTc2Mo
1.0
3.202 0.000 0.000
0.000 3.202 0.000
0.000 0.000 7.132
Tc Mo Pm
2 1 1
Direct
0.000 0.000 0.705
0.000 0.000 0.295
0.500 0.500 0.500
0.500 0.500 0.000
```


No. 16
DFT (PBE) results for a relaxed PmTc4Mo crystal.

Calculated values
Total DFT energy (no corrections)   -9.272 eV per atom
Space-group type   F-43m
Density   10.085 g/cm3
Formation enthalpy at 0 K   0.24 eV/atom

POSCAR file:
```
PmTc4Mo
1.0
5.282 0.000 0.000
2.641 4.575 0.000
2.641 1.525 4.313
Mo Tc Pm
1 4 1
Direct
0.250 0.250 0.250
0.625 0.625 0.126
0.625 0.625 0.625
0.126 0.625 0.625
0.625 0.126 0.625
0.000 0.000 0.000
```


No. 17
DFT (PBE) results for a relaxed PmTc2Mo crystal.

Calculated values
Total DFT energy (no corrections)   -8.776 eV per atom
Space-group type   R-3m
Density   8.338 g/cm3
Formation enthalpy at 0 K   0.30 eV/atom
Energy relative to the lowest polymorph listed for this composition   0.1225 eV/atom

POSCAR file:
```
PmTc2Mo
1.0
-2.330 1.853 -3.188
-0.067 -1.792 -3.977
-4.990 -2.880 -1.011
Tc Mo Pm
2 1 1
Direct
0.696 0.696 0.911
0.304 0.304 0.089
0.000 0.000 0.000
0.500 0.500 0.500
```


No. 18
DFT (PBE) results for a relaxed PmThMo4 crystal.

Calculated values
Total DFT energy (no corrections)   -9.101 eV per atom
Space-group type   F-43m
Density   10.215 g/cm3
Formation enthalpy at 0 K   0.15 eV/atom

POSCAR file:
```
PmThMo4
1.0
-3.263 -4.377 1.214
2.196 -5.136 0.265
0.500 -2.576 4.939
Mo Th Pm
4 1 1
Direct
0.124 0.625 0.625
0.625 0.625 0.625
0.625 0.124 0.625
0.625 0.625 0.124
0.000 0.000 0.000
0.250 0.250 0.250
```


No. 19
DFT (PBE) results for a relaxed PmTi2Mo crystal.

Calculated values
Total DFT energy (no corrections)   -7.772 eV per atom
Space-group type   P4/mmm
Density   6.822 g/cm3
Formation enthalpy at 0 K   0.07 eV/atom

POSCAR file:
```
PmTi2Mo
1.0
-0.085 -1.922 2.639
2.529 -1.709 -1.163
4.858 4.735 3.605
Ti Pm Mo
2 1 1
Direct
0.000 0.000 0.816
0.000 0.000 0.184
0.500 0.500 0.500
0.500 0.500 0.000
```


No. 20
DFT (PBE) results for a relaxed PmTmMo crystal.

Calculated values
Total DFT energy (no corrections)   -6.475 eV per atom
Space-group type   C2/m
Density   8.261 g/cm3
Formation enthalpy at 0 K   0.21 eV/atom

POSCAR file:
```
PmTmMo
1.0
-1.420 -2.355 -2.249
5.533 -2.048 -1.347
-1.615 -3.268 7.248
Mo Pm Tm
2 2 2
Direct
0.236 0.856 0.471
0.764 0.144 0.529
0.138 0.333 0.276
0.862 0.667 0.724
0.573 0.799 0.146
0.427 0.201 0.854
```